Crystalline LaVRh3 at its relaxed geometry, computed with PBE.

ΔH_f (0 K) = -189.2 meV/atom
mass density = 8.458 g cm⁻³
DFT total energy = -37.0 eV per cell
polymorph energy (0 for the lowest one) = 0.00 kcal/mol of atoms
magnetic moment = 0.3 μB/cell

Cell lengths 4.609, 4.609, 4.609 Å; angles 90.00, 90.00, 90.00 degrees
Space group Pm-3m (No. 221)
Asymmetric unit:
La (0.000, 0.000, 0.000) x1
V (0.500, 0.500, 0.500) x1
Rh (0.000, 0.500, 0.500) x3

=====

Crystalline Hf2HgPt at its relaxed geometry, computed with PBE.

ΔH_f (0 K) = -499.3 meV/atom
mass density = 15.742 g cm⁻³
DFT total energy = -28.2 eV per cell
magnetic moment = 0.0 μB/cell

Cell lengths 3.382, 3.382, 6.942 Å; angles 90.00, 90.00, 90.00 degrees
Space group P4/mmm (No. 123)
Asymmetric unit:
Hf (0.000, 0.000, 0.227) x2
Hg (0.500, 0.500, 0.500) x1
Pt (0.500, 0.500, 0.000) x1

=====

Crystalline CeTm2Pb2 at its relaxed geometry, computed with PBE.

ΔH_f (0 K) = -318.4 meV/atom
mass density = 10.094 g cm⁻³
DFT total energy = -71.7 eV per cell
polymorph energy (0 for the lowest one) = 0.00 kcal/mol of atoms
magnetic moment = 3.0 μB/cell

Cell lengths 5.2665, 5.2665, 18.3312 Å; angles 90.00, 90.00, 120.00 degrees
Space group R-3m (No. 166, hexagonal axes)
Asymmetric unit:
Ce (0.0000, 0.0000, 0.0000) x3
Tm (0.0000, 0.0000, 0.2061) x6
Pb (0.0000, 0.0000, 0.4090) x6

=====

Crystalline Th3RhSe2 at its relaxed geometry, computed with PBE.

raw formation energy = -128.2 kJ per mole of atoms
mass density = 9.894 g cm⁻³
DFT total energy = -178.2 eV per cell
magnetic moment = 0.0 μB/cell

Cell lengths 7.310, 12.530, 7.427 Å; angles 90.00, 109.21, 90.00 degrees
Space group C2/m (No. 12)
Asymmetric unit:
Th (0.225, 0.000, 0.228) x4
Th (0.247, 0.176, 0.767) x8
Rh (0.000, 0.167, 0.000) x4
Se (0.000, 0.000, 0.500) x2
Se (0.000, 0.343, 0.500) x4
Se (0.000, 0.500, 0.000) x2

=====

Crystalline TcAg2Au at its relaxed geometry, computed with PBE.

ΔH_f (0 K) = 475.0 meV/atom
mass density = 12.134 g cm⁻³
DFT total energy = -34.9 eV per cell
polymorph energy (0 for the lowest one) = 4.21 kcal/mol of atoms
magnetic moment = 2.0 μB/cell

Cell lengths 2.749, 5.053, 10.065 Å; angles 90.00, 90.00, 90.00 degrees
Space group Imm2 (No. 44)
Asymmetric unit:
Tc (0.000, 0.000, 0.000) x2
Ag (0.000, 0.000, 0.507) x2
Ag (0.000, 0.500, 0.750) x2
Au (0.000, 0.500, 0.261) x2

=====

Crystalline ScSi2Tc at its relaxed geometry, computed with PBE.

raw formation energy = 28.9 kJ per mole of atoms
mass density = 4.551 g cm⁻³
DFT total energy = -52.7 eV per cell
polymorph energy (0 for the lowest one) = 23.20 kcal/mol of atoms
magnetic moment = 0.0 μB/cell

Cell lengths 3.186, 4.128, 11.048 Å; angles 90.00, 90.00, 90.00 degrees
Space group Immm (No. 71)
Asymmetric unit:
Sc (0.000, 0.000, 0.000) x2
Si (0.000, 0.000, 0.287) x4
Tc (0.000, 0.000, 0.500) x2

=====

Crystalline Y3ZnPt8 at its relaxed geometry, computed with PBE.

ΔH_f (0 K) = -953.3 meV/atom
mass density = 14.035 g cm⁻³
DFT total energy = -241.3 eV per cell
magnetic moment = 0.0 μB/cell

Cell lengths 5.4138, 5.4138, 26.4687 Å; angles 90.00, 90.00, 120.00 degrees
Space group R3m (No. 160, hexagonal axes)
Asymmetric unit:
Y (0.0000, 0.0000, 0.0000) x3
Y (0.0000, 0.0000, 0.1295) x3
Y (0.0000, 0.0000, 0.5184) x3
Zn (0.0000, 0.0000, 0.6457) x3
Pt (0.0000, 0.0000, 0.3186) x3
Pt (0.0000, 0.0000, 0.8190) x3
Pt (0.0008, 0.5004, 0.0696) x9
Pt (0.1681, 0.3362, 0.9019) x9

=====

Crystalline ScAg2 at its relaxed geometry, computed with PBE.

ΔH_f (0 K) = -293.3 meV/atom
mass density = 7.583 g cm⁻³
DFT total energy = -25.8 eV per cell
polymorph energy (0 for the lowest one) = 0.00 kcal/mol of atoms
magnetic moment = 0.0 μB/cell

Cell lengths 3.569, 3.569, 8.966 Å; angles 90.00, 90.00, 90.00 degrees
Space group I4/mmm (No. 139)
Asymmetric unit:
Sc (0.000, 0.000, 0.000) x2
Ag (0.000, 0.000, 0.334) x4

=====

Which formula does entry 6 have? ScSi2Tc